(1)
A geometry-optimized Pm2Ga3BiPt4 structure, computed with PBE.

Cell: 4.2277 4.2277 11.4571 Å, 90.00 90.00 90.00°
Sites, in units of the cell vectors:
Bi 0.5000 0.5000 0.5000
Ga 0.5000 0.0000 0.8755
Ga 0.0000 0.5000 0.1245
Ga 0.0000 0.0000 0.5000
Pm 0.5000 0.0000 0.2362
Pm 0.0000 0.5000 0.7638
Pt 0.5000 0.0000 0.6621
Pt 0.0000 0.0000 0.0000
Pt 0.0000 0.5000 0.3379
Pt 0.5000 0.5000 0.0000

Values from the calculation:
E_form = -0.8511 eV per atom
Mass density = 12.07 g/cm3
Fermi-level density of states = 4.09 states/eV/cell

***

(2)
A geometry-optimized SrPmGaBi structure, computed with PBE.

Cell: 5.5567 5.5567 5.5567 Å, 60.00 60.00 60.00°
Sites, in units of the cell vectors:
Sr 0.5000 0.5000 0.5000
Bi 0.7500 0.7500 0.7500
Ga 0.2500 0.2500 0.2500
Pm 0.0000 0.0000 0.0000

Values from the calculation:
E_form = -0.4672 eV per atom
Mass density = 7.00 g/cm3
Fermi-level density of states = 3.81 states/eV/cell

***

(3)
A geometry-optimized Pr2GaBi4 structure, computed with PBE.

Cell: 6.9248 6.9248 6.7833 Å, 120.33 120.33 90.86°
Sites, in units of the cell vectors:
Bi 0.7859 0.7859 0.0717
Bi 0.7857 0.2857 0.0714
Bi 0.2856 0.2856 0.0712
Bi 0.2857 0.7857 0.0714
Ga 0.7858 0.7858 0.5715
Pr 0.2858 0.7856 0.5714
Pr 0.7856 0.2858 0.5714

Values from the calculation:
E_form = -0.4667 eV per atom
Mass density = 8.73 g/cm3
Excess energy over the best structure of this formula in the dataset = 0.000 eV/atom
Fermi-level density of states = 5.23 states/eV/cell

***

(4)
A geometry-optimized Pr2GaBi4 structure, computed with PBE.

Cell: 4.6098 6.4298 8.4685 Å, 107.58 105.79 90.00°
Sites, in units of the cell vectors:
Bi 0.8628 0.2844 0.7256
Bi 0.1372 0.7156 0.2744
Bi 0.4289 0.6758 0.8577
Bi 0.5711 0.3242 0.1423
Pr 0.2120 0.2442 0.4239
Pr 0.7880 0.7558 0.5761
Ga 0.0000 0.0000 0.0000

Values from the calculation:
E_form = -0.3340 eV per atom
Mass density = 8.60 g/cm3
Excess energy over the best structure of this formula in the dataset = 0.133 eV/atom
Fermi-level density of states = 4.73 states/eV/cell

***

(5)
A geometry-optimized Pr8GaBi5 structure, computed with PBE.

Cell: 8.4044 8.4044 8.4044 Å, 109.83 108.76 109.83°
Sites, in units of the cell vectors:
Bi 0.7506 0.6314 0.6233
Bi 0.8809 0.8727 0.2494
Bi 0.9918 0.3686 0.1191
Bi 0.5000 0.0000 0.5000
Bi 0.3767 0.1273 0.0081
Pr 0.6178 0.3945 0.8720
Pr 0.7768 0.2542 0.3822
Pr 0.1280 0.7458 0.5225
Pr 0.2684 0.2634 0.3892
Pr 0.9950 0.1208 0.7316
Pr 0.4775 0.6055 0.2232
Pr 0.6108 0.8792 0.8742
Pr 0.1258 0.7366 0.0050
Ga 0.2500 0.5000 0.7500

Values from the calculation:
E_form = -0.7853 eV per atom
Mass density = 8.15 g/cm3
Fermi-level density of states = 14.95 states/eV/cell

***

(6)
A geometry-optimized Pr5Ga2Bi2 structure, computed with PBE.

Cell: 8.3283 8.3453 9.1304 Å, 117.19 90.00 90.00°
Sites, in units of the cell vectors:
Ga 0.3829 0.1190 0.0000
Ga 0.8829 0.3810 0.0000
Ga 0.1171 0.6190 0.0000
Ga 0.6171 0.8810 0.0000
Pr 0.6711 0.3046 0.2614
Pr 0.5000 0.5000 0.0000
Pr 0.1711 0.1954 0.7386
Pr 0.6711 0.0432 0.7386
Pr 0.3289 0.9568 0.2614
Pr 0.1711 0.4568 0.2614
Pr 0.3289 0.6954 0.7386
Pr 0.8289 0.8046 0.2614
Pr 0.0000 0.0000 0.0000
Pr 0.8289 0.5432 0.7386
Bi 0.5000 0.2931 0.5861
Bi 0.0000 0.7931 0.5861
Bi 0.0000 0.2069 0.4139
Bi 0.5000 0.7069 0.4139

Values from the calculation:
E_form = -0.6979 eV per atom
Mass density = 7.43 g/cm3
Fermi-level density of states = 14.84 states/eV/cell

***

(7)
A geometry-optimized Pr6Ga2Bi structure, computed with PBE.

Cell: 9.0554 9.0554 9.0554 Å, 103.63 111.12 113.83°
Sites, in units of the cell vectors:
Pr 0.7935 0.7688 0.5622
Pr 0.7935 0.2312 0.0247
Pr 0.2065 0.2312 0.4378
Pr 0.2065 0.7688 0.9753
Pr 0.9050 0.7159 0.1891
Pr 0.2945 0.6166 0.3221
Pr 0.7055 0.3834 0.6779
Pr 0.4732 0.2841 0.1891
Pr 0.5268 0.7159 0.8109
Pr 0.2945 0.9724 0.6779
Pr 0.7055 0.0276 0.3221
Pr 0.0950 0.2841 0.8109
Ga 0.5000 0.6172 0.1172
Ga 0.3703 0.0000 0.3703
Ga 0.6297 0.0000 0.6297
Ga 0.5000 0.3828 0.8828
Bi 0.0000 0.5000 0.5000
Bi 0.0000 0.0000 0.0000

Values from the calculation:
E_form = -0.4468 eV per atom
Mass density = 6.99 g/cm3
Fermi-level density of states = 19.65 states/eV/cell

***

(8)
A geometry-optimized Pr8Ga2Bi structure, computed with PBE.

Cell: 5.0103 8.2062 9.2424 Å, 109.87 105.73 90.00°
Sites, in units of the cell vectors:
Pr 0.9527 0.2617 0.9054
Pr 0.3239 0.0661 0.6479
Pr 0.3980 0.5428 0.7960
Pr 0.0473 0.7383 0.0946
Pr 0.1706 0.2578 0.3412
Pr 0.6020 0.4572 0.2040
Pr 0.6761 0.9339 0.3521
Pr 0.8294 0.7422 0.6588
Ga 0.2128 0.6738 0.4256
Ga 0.7872 0.3262 0.5744
Bi 0.5000 0.0000 0.0000

Values from the calculation:
E_form = -0.3323 eV per atom
Mass density = 7.16 g/cm3
Fermi-level density of states = 13.33 states/eV/cell

***

(9)
A geometry-optimized Pr2Ga3BiPt4 structure, computed with PBE.

Cell: 4.2866 4.2866 11.3404 Å, 90.00 90.00 90.00°
Sites, in units of the cell vectors:
Pt 0.0000 0.0000 0.0000
Pt 0.5000 0.5000 0.0000
Pt 0.5000 0.0000 0.6605
Pt 0.0000 0.5000 0.3395
Ga 0.0000 0.5000 0.1226
Ga 0.5000 0.0000 0.8774
Ga 0.0000 0.0000 0.5000
Bi 0.5000 0.5000 0.5000
Pr 0.0000 0.5000 0.7631
Pr 0.5000 0.0000 0.2369

Values from the calculation:
E_form = -0.8541 eV per atom
Mass density = 11.80 g/cm3
Fermi-level density of states = 4.74 states/eV/cell

***

(10)
A geometry-optimized GaBi3Pt structure, computed with PBE.

Cell: 5.3354 5.3354 5.3354 Å, 90.00 90.00 90.00°
Sites, in units of the cell vectors:
Bi 0.0000 0.5000 0.0000
Bi 0.0000 0.0000 0.5000
Bi 0.5000 0.0000 0.0000
Ga 0.0000 0.0000 0.0000
Pt 0.5000 0.5000 0.5000

Values from the calculation:
E_form = 0.8697 eV per atom
Mass density = 9.75 g/cm3
Excess energy over the best structure of this formula in the dataset = 0.502 eV/atom
Fermi-level density of states = 3.87 states/eV/cell

***

(11)
A geometry-optimized GaBiPt3 structure, computed with PBE.

Cell: 5.1426 5.1426 5.1426 Å, 90.00 90.00 90.00°
Sites, in units of the cell vectors:
Pt 0.5000 0.0000 0.0000
Pt 0.0000 0.5000 0.0000
Pt 0.0000 0.0000 0.5000
Bi 0.0000 0.0000 0.0000
Ga 0.5000 0.5000 0.5000

Values from the calculation:
E_form = 0.9610 eV per atom
Mass density = 10.55 g/cm3
Excess energy over the best structure of this formula in the dataset = 0.781 eV/atom
Fermi-level density of states = 1.57 states/eV/cell

***

(12)
A geometry-optimized GaBiPt structure, computed with PBE.

Cell: 4.3182 4.2501 4.2501 Å, 120.00 90.00 90.00°
Sites, in units of the cell vectors:
Ga 0.2099 0.3333 0.6667
Bi 0.7022 0.6667 0.3333
Pt 0.0879 0.0000 0.0000

Values from the calculation:
E_form = -0.2318 eV per atom
Mass density = 11.65 g/cm3
Excess energy over the best structure of this formula in the dataset = 0.074 eV/atom
Fermi-level density of states = 1.76 states/eV/cell

***

Copy entry 10 word for word.
A geometry-optimized GaBi3Pt structure, computed with PBE.

Cell: 5.3354 5.3354 5.3354 Å, 90.00 90.00 90.00°
Sites, in units of the cell vectors:
Bi 0.0000 0.5000 0.0000
Bi 0.0000 0.0000 0.5000
Bi 0.5000 0.0000 0.0000
Ga 0.0000 0.0000 0.0000
Pt 0.5000 0.5000 0.5000

Values from the calculation:
E_form = 0.8697 eV per atom
Mass density = 9.75 g/cm3
Excess energy over the best structure of this formula in the dataset = 0.502 eV/atom
Fermi-level density of states = 3.87 states/eV/cell